{
  "formula": "Sr2RhWO6",
  "functional": "GGA+U",
  "state": "optimized geometry",
  "dos_at_fermi_per_ev_cell": 3.4,
  "sg": "No. 139",
  "total_energy_ev_per_atom": -6.8408,
  "lattice": [[-0.8526, -3.9316, 4.0122], [1.1552, -4.0941, -3.7665], [8.0505, 0.3669, 2.0703]],
  "species": ["Sr", "Sr", "Sr", "Sr", "Rh", "Rh", "W", "W", "O", "O", "O", "O", "O", "O", "O", "O", "O", "O", "O", "O"],
  "fractional_positions": [[0.5000, 0.7499, 0.2500], [0.0000, 0.2501, 0.7500], [0.5000, 0.7499, 0.7500], [0.0000, 0.2501, 0.2500], [0.0000, 0.7499, 0.5000], [0.5000, 0.2501, 0.0000], [0.5000, 0.2498, 0.5000], [0.0000, 0.7502, 0.0000], [0.5000, 0.2499, 0.2646], [0.5000, 0.2499, 0.7354], [0.0000, 0.7501, 0.2354], [0.0000, 0.7501, 0.7646], [0.2585, 0.0083, 0.5000], [0.7415, 0.0083, 0.5000], [0.2584, 0.4913, 0.5000], [0.7416, 0.4913, 0.5000], [0.7584, 0.5087, 0.0000], [0.2416, 0.5087, 0.0000], [0.2415, 0.9917, 0.0000], [0.7585, 0.9917, 0.0000]]
}